# La2Cu3

An optimized crystal structure of La2Cu3 (PBEsol, Alexandria via LeMat-Bulk).

Unit cell a=5.277 b=5.277 c=8.547 alpha=99.83 beta=99.83 gamma=116.55
Sites, in units of the cell vectors:
Cu1 0.810 0.150 0.754
Cu2 0.343 0.843 0.500
Cu3 0.396 0.056 0.246
Cu4 0.306 0.146 0.746
Cu5 0.093 0.093 0.000
Cu6 0.400 0.560 0.254
La1 0.821 0.480 0.100
La2 0.380 0.721 0.900
La3 0.971 0.130 0.400
La4 0.730 0.571 0.600

Summary:
Volume = 20.13 Å³/atom
Space group = Fdd2 (43)
Size of the total moment = 0.0 μB/f.u.
ΔH_f (0 K) = -2.3 kcal/mol of atoms